VASP calculation (PBE-GGA) on an optimized crystal structure of ScCu2F.

Lattice parameters (Å, degrees): 7.3590 7.3590 4.4543 90.00 90.00 90.00
Space group I-42d (No. 122)
Symmetry-distinct sites (fractional):
1 Sc 0.0000 0.0000 0.0000 (multiplicity 4)
2 Cu 0.2160 0.2500 0.6250 (multiplicity 8)
3 F 0.0000 0.0000 0.5000 (multiplicity 4)

* formation energy (no corrections): -0.819 eV/atom
* polymorph energy (0 for the lowest one): 0 meV/atom
* density of states at the Fermi level: 0.11 states/eV/atom

VASP calculation (PBE-GGA) on an optimized crystal structure of Sr3BeB6O13.

Lattice parameters (Å, degrees): 12.9186 10.1426 8.1567 90.00 90.00 90.00
Space group Pnma (No. 62)
Symmetry-distinct sites (fractional):
1 Sr 0.0089 0.0027 0.2346 (multiplicity 8)
2 Sr 0.2383 0.7500 0.4075 (multiplicity 4)
3 Be 0.1597 0.7500 0.7932 (multiplicity 4)
4 B 0.0299 0.2500 0.5649 (multiplicity 4)
5 B 0.0387 0.2500 0.0250 (multiplicity 4)
6 B 0.1895 0.1252 0.4758 (multiplicity 8)
7 B 0.2377 0.5197 0.7156 (multiplicity 8)
8 O 0.0461 0.7500 0.8689 (multiplicity 4)
9 O 0.0524 0.7500 0.3358 (multiplicity 4)
10 O 0.0765 0.1319 0.5137 (multiplicity 8)
11 O 0.0833 0.1304 0.9805 (multiplicity 8)
12 O 0.1714 0.6187 0.6782 (multiplicity 8)
13 O 0.1985 0.0189 0.3534 (multiplicity 8)
14 O 0.2294 0.2500 0.4080 (multiplicity 4)
15 O 0.2466 0.0962 0.6279 (multiplicity 8)

* formation energy (no corrections): -2.737 eV/atom
* density of states at the Fermi level: 0.00 states/eV/atom